No. 1
Entry from Alexandria: a relaxed Nb2AlPOs crystal (PBE).

Output
The crystal system is tetragonal. The calculation puts the total DFT energy (no corrections) at -36.2 eV/cell. The calculation puts the magnetic moment at 0.00 μB per formula unit. The density of states at the Fermi level is 0.7788 states/eV per atom. The space-group type is P4/mmm.

The structure in POSCAR format:
```
Nb2AlPOs
1.0
4.876 0.000 0.000
0.000 4.876 0.000
0.000 0.000 4.598
Nb Al P Os
2 1 1 1
Direct
0.000 0.500 0.000 Nb
0.500 0.000 0.000 Nb
0.000 0.000 0.500 Al
0.500 0.500 0.500 P
0.000 0.000 0.000 Os
```

No. 2
Entry from Alexandria: a relaxed PmEr6Tl2 crystal (PBE).

Output
The crystal system is monoclinic. The calculation puts the total DFT energy (no corrections) at -38.1 eV/cell. The calculation puts the magnetic moment at 0.00 μB per formula unit. The density of states at the Fermi level is 1.3300 states/eV per atom. The space-group type is C2/m.

The structure in POSCAR format:
```
PmEr6Tl2
1.0
6.341 -1.863 0.000
6.341 1.863 0.000
-3.670 0.000 11.379
Pm Er Tl
1 6 2
Direct
0.000 0.000 0.000 Pm
0.011 0.011 0.348 Er
0.310 0.310 0.418 Er
0.313 0.313 0.126 Er
0.687 0.687 0.874 Er
0.690 0.690 0.582 Er
0.989 0.989 0.652 Er
0.358 0.358 0.784 Tl
0.642 0.642 0.216 Tl
```

No. 3
Entry from Alexandria: a relaxed AlSb2IrI crystal (PBE).

Output
The crystal system is tetragonal. The calculation puts the magnetic moment at 0.75 μB per formula unit. The value obtained for the formation energy from raw total energies is 1.23 eV per atom. The density of states at the Fermi level is 0.8345 states/eV per atom. The space-group type is P4/mmm.

The structure in POSCAR format:
```
AlSb2IrI
1.0
5.174 0.000 0.000
0.000 5.174 0.000
0.000 0.000 5.168
Al Sb Ir I
1 2 1 1
Direct
0.000 0.000 0.000 Al
0.000 0.500 0.000 Sb
0.500 0.000 0.000 Sb
0.500 0.500 0.500 Ir
0.000 0.000 0.500 I
```

No. 4
Entry from Alexandria: a relaxed Mg3InTc crystal (PBE).

Output
The crystal system is cubic. The calculation puts the total DFT energy (no corrections) at -14.5 eV/cell. The calculation puts the magnetic moment at 0.00 μB per formula unit. The density of states at the Fermi level is 1.0174 states/eV per atom. The space-group type is Pm-3m.

The structure in POSCAR format:
```
Mg3InTc
1.0
5.047 0.000 0.000
0.000 5.047 0.000
0.000 0.000 5.047
Mg In Tc
3 1 1
Direct
0.000 0.000 0.500 Mg
0.000 0.500 0.000 Mg
0.500 0.000 0.000 Mg
0.500 0.500 0.500 In
0.000 0.000 0.000 Tc
```

- magnetic moment of number 2 (PmEr6Tl2)?
  0.00 μB per formula unit